Entry from the Alexandria database: a relaxed Hf2ZnPd crystal (GGA-PBE).

Lattice parameters (Å, degrees): 4.3604 4.3604 14.3898 90.00 90.00 120.00
Space group R3m (No. 160, hexagonal axes)
One atom of each set of equivalent atoms:
1 Hf 0.0000 0.0000 0.0000 (multiplicity 3)
2 Hf 0.0000 0.0000 0.1996 (multiplicity 3)
3 Zn 0.0000 0.0000 0.4132 (multiplicity 3)
4 Pd 0.0000 0.0000 0.7903 (multiplicity 3)

Energy of formation, meV per atom: -155
Crystal system: trigonal